[1]
ZrScOs2 | the Alexandria database | PBE | relaxed; total energy = -9.81 eV per atom; calculated formation energy = -0.474 eV/atom; energy above the lowest structure with this stoichiometry = 0.001 eV per atom; SG = P4/mmm, No. 123
1.0
-0.254 1.165 -4.431
3.478 -2.839 -0.946
-2.119 -2.424 -0.516
Os Zr Sc
2 1 1
Cartesian
0.000 0.000 0.000
1.612 -0.837 -2.688
0.680 -2.632 -0.731
-1.186 -0.629 -2.473



[2]
ZrSc2Os | the Alexandria database | PBE | relaxed; total energy = -8.13 eV per atom; calculated formation energy = -0.021 eV/atom; energy above the lowest structure with this stoichiometry = 0.282 eV per atom; SG = Pmmm, No. 47
1.0
-0.180 3.109 -0.483
-2.194 0.446 3.688
4.939 0.728 2.851
Sc Zr Os
2 1 1
Cartesian
2.578 0.380 1.488
4.831 0.712 2.788
0.048 1.959 2.315
2.517 2.324 3.741



[3]
ZrScOs2 | the Alexandria database | PBE | relaxed; total energy = -9.34 eV per atom; calculated formation energy = -0.003 eV/atom; energy above the lowest structure with this stoichiometry = 0.473 eV per atom; SG = R-3m, No. 166
1.0
-0.645 8.636 -1.174
-1.321 8.444 1.824
1.618 8.539 0.912
Zr Os Sc
1 2 1
Cartesian
-0.261 19.214 1.172
-0.174 12.816 0.782
-0.348 25.611 1.562
-0.087 6.405 0.391